# SrCd12 | the Alexandria database | PBE | relaxed
# Total moment: 0.00 μB per formula unit
data_SrCd12
_chemical_formula_sum 'Sr4 Cd48'
_cell_length_a 12.087
_cell_length_b 12.087
_cell_length_c 12.087
_cell_angle_alpha 90.00
_cell_angle_beta 90.00
_cell_angle_gamma 90.00
_space_group_name_H-M_alt 'F m -3 m'
_space_group_IT_number 225
_space_group_name_Hall '-F 4 2 3'
loop_
_atom_site_label
_atom_site_fract_x
_atom_site_fract_y
_atom_site_fract_z
Sr1 0.000 0.000 0.000
Cd1 0.000 0.170 0.330

***

# Sr2Cd | the Alexandria database | PBE | relaxed
# Total moment: 0.00 μB per formula unit
data_Sr2Cd
_chemical_formula_sum 'Sr8 Cd4'
_cell_length_a 4.382
_cell_length_b 14.757
_cell_length_c 7.938
_cell_angle_alpha 90.00
_cell_angle_beta 90.00
_cell_angle_gamma 90.00
_space_group_name_H-M_alt 'C m c 21'
_space_group_IT_number 36
loop_
_space_group_symop_operation_xyz
'x,y,z'
'-x,-y,z+1/2'
'-x,y,z'
'x,-y,z+1/2'
'x+1/2,y+1/2,z'
'-x+1/2,-y+1/2,z+1/2'
'-x+1/2,y+1/2,z'
'x+1/2,-y+1/2,z+1/2'
loop_
_atom_site_label
_atom_site_fract_x
_atom_site_fract_y
_atom_site_fract_z
Sr1 0.000 0.023 0.000
Sr2 0.000 0.288 0.814
Cd1 0.000 0.386 0.216

***

# Sr3Cd | the Alexandria database | PBE | relaxed
# Total moment: 0.00 μB per formula unit
data_Sr3Cd
_chemical_formula_sum 'Sr12 Cd4'
_cell_length_a 6.508
_cell_length_b 13.271
_cell_length_c 9.093
_cell_angle_alpha 90.00
_cell_angle_beta 110.59
_cell_angle_gamma 90.00
_space_group_name_H-M_alt 'C 1 2/m 1'
_space_group_IT_number 12
loop_
_space_group_symop_operation_xyz
'x,y,z'
'-x,-y,-z'
'-x,y,-z'
'x,-y,z'
'x+1/2,y+1/2,z'
'-x+1/2,-y+1/2,-z'
'-x+1/2,y+1/2,-z'
'x+1/2,-y+1/2,z'
loop_
_atom_site_label
_atom_site_fract_x
_atom_site_fract_y
_atom_site_fract_z
Sr1 0.120 0.164 0.235
Sr2 0.176 0.500 0.349
Cd1 0.000 0.377 0.000

***

# Sr2Cd17 | the Alexandria database | PBE | relaxed
# Total moment: 0.00 μB per formula unit
data_Sr2Cd17
_chemical_formula_sum 'Sr6 Cd51'
_cell_length_a 10.2977
_cell_length_b 10.2977
_cell_length_c 15.0944
_cell_angle_alpha 90.00
_cell_angle_beta 90.00
_cell_angle_gamma 120.00
_space_group_name_H-M_alt 'R -3 m'
_space_group_IT_number 166
_space_group_name_Hall '-R 3 2"'
loop_
_atom_site_label
_atom_site_fract_x
_atom_site_fract_y
_atom_site_fract_z
Sr1 0.0000 0.0000 0.1634
Cd1 0.0000 0.0000 0.3986
Cd2 0.0000 0.2983 0.5000
Cd3 0.0000 0.5000 0.0000
Cd4 0.0115 0.5058 0.6495

***

# Sr5Cd | the Alexandria database | PBE | relaxed
# Total moment: 0.00 μB per formula unit
data_Sr5Cd
_chemical_formula_sum 'Sr5 Cd1'
_cell_length_a 4.149
_cell_length_b 4.149
_cell_length_c 16.603
_cell_angle_alpha 90.00
_cell_angle_beta 90.00
_cell_angle_gamma 90.00
_space_group_name_H-M_alt 'P 4/m m m'
_space_group_IT_number 123
_space_group_name_Hall '-P 4 2'
loop_
_atom_site_label
_atom_site_fract_x
_atom_site_fract_y
_atom_site_fract_z
Sr1 0.000 0.000 0.000
Sr2 0.000 0.000 0.382
Sr3 0.500 0.500 0.191
Cd1 0.500 0.500 0.500

***

# Sr4Cd | the Alexandria database | PBE | relaxed
# Total moment: 0.00 μB per formula unit
data_Sr4Cd
_chemical_formula_sum 'Sr8 Cd2'
_cell_length_a 4.145
_cell_length_b 4.145
_cell_length_c 26.895
_cell_angle_alpha 90.00
_cell_angle_beta 90.00
_cell_angle_gamma 90.00
_space_group_name_H-M_alt 'I 4/m m m'
_space_group_IT_number 139
_space_group_name_Hall '-I 4 2'
loop_
_atom_site_label
_atom_site_fract_x
_atom_site_fract_y
_atom_site_fract_z
Sr1 0.000 0.000 0.073
Sr2 0.000 0.000 0.309
Cd1 0.000 0.000 0.500

***

| no. | energy of formation (eV per atom) |
| --- | --- |
| 1 | 0.203 |
| 2 | -0.184 |
| 3 | -0.071 |
| 4 | -0.165 |
| 5 | -0.109 |
| 6 | -0.133 |